Record 1
ZnInAu: optimized geometry, GGA-PBE.

* M_tot: 0.00 μB/cell
* energy relative to the elements: -0.102 eV per atom
* calculated total energy: -2.5321 eV/atom

Unit cell a=3.805 b=3.805 c=8.153 alpha=90.00 beta=90.00 gamma=90.00
Space group I4mm (No. 107)
One atom of each set of equivalent atoms:
Zn (0.000, 0.000, 0.000) (multiplicity 2)
In (0.000, 0.000, 0.330) (multiplicity 2)
Au (0.000, 0.000, 0.671) (multiplicity 2)

***

Record 2
Zn2In2Au7: optimized geometry, GGA-PBE.

* M_tot: 0.00 μB/cell
* energy relative to the elements: -0.064 eV per atom
* calculated total energy: -2.8788 eV/atom

Unit cell a=6.753 b=9.696 c=6.827 alpha=90.00 beta=103.42 gamma=90.00
Space group C2/m (No. 12)
One atom of each set of equivalent atoms:
Zn (0.000, 0.191, 0.000) (multiplicity 4)
In (0.164, 0.500, 0.165) (multiplicity 4)
Au (0.000, 0.500, 0.500) (multiplicity 2)
Au (0.085, 0.000, 0.300) (multiplicity 4)
Au (0.166, 0.254, 0.692) (multiplicity 8)

***

Record 3
Zn12InAu6: optimized geometry, GGA-PBE.

* M_tot: 0.00 μB/cell
* energy relative to the elements: -0.130 eV per atom
* calculated total energy: -2.1133 eV/atom

Unit cell a=11.6604 b=11.6604 c=8.7699 alpha=90.00 beta=90.00 gamma=120.00
Space group R-3m (No. 166, hexagonal axes)
One atom of each set of equivalent atoms:
Zn (0.0000, 0.3888, 0.0000) (multiplicity 18)
Zn (0.0864, 0.1728, 0.7835) (multiplicity 18)
In (0.0000, 0.0000, 0.5000) (multiplicity 3)
Au (0.0618, 0.5309, 0.7428) (multiplicity 18)

***

Record 4
Zn6InAu12: optimized geometry, GGA-PBE.

* polymorph energy (0 for the lowest one): 0.051 eV per atom
* M_tot: 0.00 μB/cell
* energy relative to the elements: -0.103 eV per atom
* calculated total energy: -2.7192 eV/atom

Unit cell a=12.2615 b=12.2615 c=8.2472 alpha=90.00 beta=90.00 gamma=120.00
Space group R-3m (No. 166, hexagonal axes)
One atom of each set of equivalent atoms:
Zn (0.0638, 0.5319, 0.2386) (multiplicity 18)
In (0.0000, 0.0000, 0.0000) (multiplicity 3)
Au (0.0000, 0.3801, 0.5000) (multiplicity 18)
Au (0.0799, 0.1599, 0.2823) (multiplicity 18)

***

Record 5
ZnInAu3: optimized geometry, GGA-PBE.

* polymorph energy (0 for the lowest one): 0.652 eV per atom
* M_tot: 0.00 μB/cell
* energy relative to the elements: 0.588 eV per atom
* calculated total energy: -2.1807 eV/atom

Unit cell a=5.231 b=5.231 c=5.231 alpha=90.00 beta=90.00 gamma=90.00
Space group Pm-3m (No. 221)
One atom of each set of equivalent atoms:
Zn (0.000, 0.000, 0.000) (multiplicity 1)
In (0.500, 0.500, 0.500) (multiplicity 1)
Au (0.000, 0.500, 0.500) (multiplicity 3)

***

Record 6
ZnIn2Au: optimized geometry, GGA-PBE.

* M_tot: 0.00 μB/cell
* energy relative to the elements: -0.040 eV per atom
* calculated total energy: -2.5472 eV/atom

Unit cell a=3.4467 b=3.4467 c=25.9200 alpha=90.00 beta=90.00 gamma=120.00
Space group R3m (No. 160, hexagonal axes)
One atom of each set of equivalent atoms:
Zn (0.0000, 0.0000, 0.0000) (multiplicity 3)
In (0.0000, 0.0000, 0.2505) (multiplicity 3)
In (0.0000, 0.0000, 0.4821) (multiplicity 3)
Au (0.0000, 0.0000, 0.7344) (multiplicity 3)